(1)
Density functional theory data (GGA-PBE) for an optimized crystal structure of Zr6Tl3Ag.

Lattice parameters (Å, degrees): 8.2002 6.0409 6.0409 56.50 73.20 73.20
Positions (direct):
Zr  0.3129  0.0978  0.5920
Zr  0.6871  0.4080  0.9022
Zr  0.6871  0.9022  0.4080
Zr  0.3129  0.5920  0.0978
Zr  0.0715  0.6285  0.6285
Zr  0.9285  0.3715  0.3715
Tl  0.3013  0.1083  0.1083
Tl  0.6987  0.8917  0.8917
Tl  0.0000  0.0000  0.0000
Ag  0.5000  0.5000  0.5000

Output
Space group ... C2/m
Crystal system ... monoclinic

(2)
Density functional theory data (GGA-PBE) for an optimized crystal structure of ZrTlAg.

Lattice parameters (Å, degrees): 3.2294 4.6938 8.7198 90.02 100.67 90.00
Positions (direct):
Ag  0.7482  0.2931  0.4964
Ag  0.0057  0.7929  0.0115
Zr  0.1806  0.7929  0.3612
Zr  0.4091  0.2933  0.8181
Tl  0.8395  0.7932  0.6789
Tl  0.5832  0.2927  0.1665

Output
Space group ... Amm2
Crystal system ... orthorhombic

(3)
Density functional theory data (GGA-PBE) for an optimized crystal structure of ZrTlAg2.

Lattice parameters (Å, degrees): 9.9740 9.9740 9.9740 18.67 18.67 18.67
Positions (direct):
Ag  0.0032  0.0032  0.0032
Ag  0.4968  0.4968  0.4968
Tl  0.2500  0.2500  0.2500
Zr  0.7500  0.7500  0.7500

Output
Space group ... R-3m
Crystal system ... trigonal

(4)
Density functional theory data (GGA-PBE) for an optimized crystal structure of Zr2TlAg.

Lattice parameters (Å, degrees): 3.2843 3.2843 8.3405 90.00 90.00 90.00
Positions (direct):
Tl  0.5000  0.5000  0.7335
Zr  0.0000  0.0000  0.0082
Zr  0.5000  0.5000  0.2634
Ag  0.0000  0.0000  0.4948

Output
Space group ... P4mm
Crystal system ... tetragonal

no.,DFT formation energy (kJ per mole of atoms),calculated volume (Å³/cell)
1,16,235.7
2,7,129.9
3,15,88.8
4,-1,90.0